# LiTh2Au6 | Alexandria | PBE-GGA | optimized geometry
# Total energy: -41.49 eV per cell
# Formation energy from the elements: -563 meV/atom
data_LiTh2Au6
_cell_length_a 6.499
_cell_length_b 6.499
_cell_length_c 5.243
_cell_angle_alpha 90.00
_cell_angle_beta 90.00
_cell_angle_gamma 120.00
_space_group_name_H-M_alt 'P 1'
_space_group_IT_number 1
_space_group_name_Hall 'P 1'
loop_
_atom_site_label
_atom_site_fract_x
_atom_site_fract_y
_atom_site_fract_z
Li1 0.000 0.000 0.000
Th1 0.333 0.667 0.807
Th2 0.667 0.333 0.193
Au1 0.178 0.357 0.296
Au2 0.178 0.822 0.296
Au3 0.357 0.178 0.704
Au4 0.643 0.822 0.296
Au5 0.822 0.178 0.704
Au6 0.822 0.643 0.704